# 1
## Tc2NiOs (PBE-GGA)

Data for Tc2NiOs after structural relaxation.

The structure in POSCAR format:
```
Tc2NiOs
1.0
3.767 0.000 0.000
0.000 3.767 0.000
0.000 0.000 3.838
Tc Ni Os
2 1 1
Cartesian
0.000 1.883 0.000
1.883 0.000 0.000
0.000 0.000 1.919
1.883 1.883 1.919
```

Formation energy from the elements in meV/atom: 57
Total magnetization in μB per atom: 0.000
Offset from the most stable computed form in meV per atom: 108
DFT total energy in eV/atom: -9.38



# 2
## HF4 (PBE-GGA)

Data for HF4 after structural relaxation.

The structure in POSCAR format:
```
HF4
1.0
3.473 0.000 0.000
0.000 3.473 0.000
0.000 0.000 3.473
H F
1 4
Cartesian
0.000 0.000 0.000
0.000 0.000 1.736
0.000 1.736 0.000
1.736 0.000 0.000
1.736 1.736 1.736
```

Total magnetization in μB per atom: 0.600
Offset from the most stable computed form in meV per atom: 797
DFT total energy in eV/atom: -1.87



# 3
## Tm5Tl2N (PBE-GGA)

Data for Tm5Tl2N after structural relaxation.

The structure in POSCAR format:
```
Tm5Tl2N
1.0
1.803 -8.659 0.000
1.803 8.659 0.000
0.000 0.000 15.194
Tm Tl N
10 4 2
Cartesian
1.803 6.584 9.569
1.803 6.584 13.222
1.803 4.533 3.798
1.803 3.240 8.399
1.803 3.240 14.392
1.803 -3.240 0.802
1.803 -3.240 6.795
1.803 -4.533 11.395
1.803 -6.584 1.972
1.803 -6.584 5.625
1.803 7.637 2.228
1.803 7.637 5.369
1.803 -7.637 9.825
1.803 -7.637 12.966
1.803 5.388 11.395
1.803 -5.388 3.798
```

Total magnetization in μB per atom: 0.083
Formation energy without anion corrections in eV/atom: -0.273
DFT total energy in eV/atom: -4.70



# 4
## Ge2IrPd3 (PBE-GGA)

Data for Ge2IrPd3 after structural relaxation.

The structure in POSCAR format:
```
Ge2IrPd3
1.0
-2.731 6.411 2.746
2.731 -6.411 2.746
2.731 6.411 -2.746
Ge Ir Pd
4 2 6
Cartesian
1.269 1.614 0.000
1.269 -1.614 2.746
1.461 8.025 0.000
1.461 4.797 2.746
0.000 0.000 1.373
0.000 0.000 4.119
3.995 2.370 0.000
2.731 0.000 1.373
1.264 4.041 0.000
1.467 2.370 2.746
0.000 6.411 1.373
-1.264 4.041 2.746
```

Formation energy from the elements in meV/atom: -383
Total magnetization in μB per atom: 0.000
DFT total energy in eV/atom: -6.00



# 5
## Re5W (PBE-GGA)

Data for Re5W after structural relaxation.

The structure in POSCAR format:
```
Re5W
1.0
5.064 0.000 0.000
-2.532 4.386 0.000
0.000 0.000 4.494
Re W
5 1
Cartesian
-1.266 2.193 0.000
0.000 2.924 2.247
2.532 0.000 0.000
1.266 2.193 0.000
2.532 1.462 2.247
0.000 0.000 2.247
```

Formation energy from the elements in meV/atom: 607
Total magnetization in μB per atom: 0.000
Offset from the most stable computed form in meV per atom: 524
DFT total energy in eV/atom: -11.92



# 6
## Ho4GeSe2Br (PBE-GGA)

Data for Ho4GeSe2Br after structural relaxation.

The structure in POSCAR format:
```
Ho4GeSe2Br
1.0
7.060 0.000 0.000
0.000 4.101 0.000
-2.353 0.000 6.796
Ho Ge Se Br
4 1 2 1
Cartesian
1.139 0.000 1.488
-0.024 2.051 5.251
4.730 2.051 1.546
3.567 0.000 5.309
3.530 0.000 0.000
-1.177 0.000 3.398
0.000 2.051 0.000
2.353 2.051 3.398
```

Total magnetization in μB per atom: 0.000
Formation energy without anion corrections in eV/atom: -1.377
DFT total energy in eV/atom: -5.32



# 7
## DyPa2Sn (PBE-GGA)

Data for DyPa2Sn after structural relaxation.

The structure in POSCAR format:
```
DyPa2Sn
1.0
4.451 0.000 0.000
0.000 4.451 0.000
0.000 0.000 5.150
Dy Pa Sn
1 2 1
Cartesian
0.000 0.000 0.000
0.000 2.225 2.575
2.225 0.000 2.575
2.225 2.225 0.000
```

Formation energy from the elements in meV/atom: -195
Total magnetization in μB per atom: 0.000
Offset from the most stable computed form in meV per atom: 0
DFT total energy in eV/atom: -7.09



# 8
## Ni2RhI2 (PBE-GGA)

Data for Ni2RhI2 after structural relaxation.

The structure in POSCAR format:
```
Ni2RhI2
1.0
7.004 0.000 0.000
0.000 7.004 0.000
0.000 0.000 3.598
Ni Rh I
4 2 4
Cartesian
0.901 2.602 0.000
2.602 6.104 0.000
4.403 0.901 0.000
6.104 4.403 0.000
0.000 0.000 0.000
3.502 3.502 0.000
1.272 4.774 1.799
2.230 1.272 1.799
4.774 5.733 1.799
5.733 2.230 1.799
```

Total magnetization in μB per atom: 0.000
Formation energy without anion corrections in eV/atom: 0.579
Offset from the most stable computed form in meV per atom: 0
DFT total energy in eV/atom: -3.82



Question: Which of these has the highest total magnetization?
Answer: HF4